A | # GGA-PBE Zn6Ni2Ir, relaxed
data_Zn6Ni2Ir
_chemical_formula_sum 'Zn6 Ni2 Ir1'
_symmetry_space_group_name_H-M 'P 1'
_symmetry_Int_Tables_number 1
_symmetry_space_group_name_Hall 'P 1'
_cell_length_a 4.204
_cell_length_b 4.203
_cell_length_c 7.912
_cell_angle_alpha 90.01
_cell_angle_beta 90.00
_cell_angle_gamma 120.00
loop_
_atom_site_label
_atom_site_type_symbol
_atom_site_fract_x
_atom_site_fract_y
_atom_site_fract_z
Ir1 Ir 0.000 0.000 0.500
Zn1 Zn 0.333 0.667 0.055
Zn2 Zn 0.000 0.000 0.821
Zn3 Zn 0.333 0.667 0.391
Zn4 Zn 0.000 0.000 0.179
Zn5 Zn 0.667 0.333 0.609
Zn6 Zn 0.667 0.333 0.945
Ni1 Ni 0.333 0.667 0.727
Ni2 Ni 0.667 0.333 0.273
# SG: P-3m1
# Magnetic moment, μB/f.u.: 0.00

***

B | # GGA-PBE Zn6Ni2Ir, relaxed
data_Zn6Ni2Ir
_chemical_formula_sum 'Zn6 Ni2 Ir1'
_symmetry_space_group_name_H-M 'P 1'
_symmetry_Int_Tables_number 1
_symmetry_space_group_name_Hall 'P 1'
_cell_length_a 4.085
_cell_length_b 5.786
_cell_length_c 7.046
_cell_angle_alpha 114.24
_cell_angle_beta 106.40
_cell_angle_gamma 90.00
loop_
_atom_site_label
_atom_site_type_symbol
_atom_site_fract_x
_atom_site_fract_y
_atom_site_fract_z
Ni1 Ni 0.330 0.331 0.662
Ni2 Ni 0.670 0.669 0.338
Zn1 Zn 0.500 0.738 0.000
Zn2 Zn 0.829 0.573 0.661
Zn3 Zn 0.829 0.087 0.661
Zn4 Zn 0.171 0.913 0.339
Zn5 Zn 0.500 0.262 0.000
Zn6 Zn 0.171 0.427 0.339
Ir1 Ir 0.000 0.000 0.000
# SG: C2/m
# Magnetic moment, μB/f.u.: 0.00

***

A ends up most stable, edging out the next structure by 154 meV/atom.

***

A | # GGA-PBE ZrNi2Ir2, relaxed
data_ZrNi2Ir2
_chemical_formula_sum 'Zr2 Ni4 Ir4'
_symmetry_space_group_name_H-M 'P 1'
_symmetry_Int_Tables_number 1
_symmetry_space_group_name_Hall 'P 1'
_cell_length_a 7.195
_cell_length_b 7.195
_cell_length_c 2.833
_cell_angle_alpha 90.00
_cell_angle_beta 90.00
_cell_angle_gamma 90.00
loop_
_atom_site_label
_atom_site_type_symbol
_atom_site_fract_x
_atom_site_fract_y
_atom_site_fract_z
Zr1 Zr 0.500 0.500 0.000
Zr2 Zr 0.000 0.000 0.000
Ir1 Ir 0.370 0.870 0.000
Ir2 Ir 0.630 0.130 0.000
Ir3 Ir 0.870 0.630 0.000
Ir4 Ir 0.130 0.370 0.000
Ni1 Ni 0.832 0.332 0.500
Ni2 Ni 0.168 0.668 0.500
Ni3 Ni 0.332 0.168 0.500
Ni4 Ni 0.668 0.832 0.500
# SG: P4/mbm
# Magnetic moment, μB/f.u.: 0.00

***

B | # GGA-PBE ZrNi2Ir2, relaxed
data_ZrNi2Ir2
_chemical_formula_sum 'Zr1 Ni2 Ir2'
_symmetry_space_group_name_H-M 'P 1'
_symmetry_Int_Tables_number 1
_symmetry_space_group_name_Hall 'P 1'
_cell_length_a 3.557
_cell_length_b 3.557
_cell_length_c 6.640
_cell_angle_alpha 74.46
_cell_angle_beta 74.46
_cell_angle_gamma 90.00
loop_
_atom_site_label
_atom_site_type_symbol
_atom_site_fract_x
_atom_site_fract_y
_atom_site_fract_z
Ni1 Ni 0.750 0.250 0.500
Ni2 Ni 0.250 0.750 0.500
Ir1 Ir 0.395 0.395 0.209
Ir2 Ir 0.605 0.605 0.791
Zr1 Zr 0.000 0.000 0.000
# SG: I4/mmm
# Magnetic moment, μB/f.u.: 0.90

***

A ends up most stable, edging out the next structure by 12 meV/atom.

***

A | # GGA-PBE ZrNi3Ir, relaxed
data_ZrNi3Ir
_chemical_formula_sum 'Zr1 Ni3 Ir1'
_symmetry_space_group_name_H-M 'P 1'
_symmetry_Int_Tables_number 1
_symmetry_space_group_name_Hall 'P 1'
_cell_length_a 4.476
_cell_length_b 4.476
_cell_length_c 4.476
_cell_angle_alpha 90.00
_cell_angle_beta 90.00
_cell_angle_gamma 90.00
loop_
_atom_site_label
_atom_site_type_symbol
_atom_site_fract_x
_atom_site_fract_y
_atom_site_fract_z
Ni1 Ni 0.000 0.500 0.000
Ni2 Ni 0.500 0.000 0.000
Ni3 Ni 0.000 0.000 0.500
Zr1 Zr 0.500 0.500 0.500
Ir1 Ir 0.000 0.000 0.000
# SG: Pm-3m
# Magnetic moment, μB/f.u.: 0.67

***

B | # GGA-PBE ZrNi3Ir, relaxed
data_ZrNi3Ir
_chemical_formula_sum 'Zr1 Ni3 Ir1'
_symmetry_space_group_name_H-M 'P 1'
_symmetry_Int_Tables_number 1
_symmetry_space_group_name_Hall 'P 1'
_cell_length_a 4.421
_cell_length_b 4.421
_cell_length_c 4.421
_cell_angle_alpha 90.00
_cell_angle_beta 90.00
_cell_angle_gamma 90.00
loop_
_atom_site_label
_atom_site_type_symbol
_atom_site_fract_x
_atom_site_fract_y
_atom_site_fract_z
Ni1 Ni 0.000 0.000 0.500
Ni2 Ni 0.500 0.000 0.000
Ni3 Ni 0.000 0.500 0.000
Zr1 Zr 0.000 0.000 0.000
Ir1 Ir 0.500 0.500 0.500
# SG: Pm-3m
# Magnetic moment, μB/f.u.: 0.06

***

A ends up most stable, edging out the next structure by 661 meV/atom.

***

A | # GGA-PBE NpP2Ir, relaxed
data_NpP2Ir
_chemical_formula_sum 'Np2 P4 Ir2'
_symmetry_space_group_name_H-M 'P 1'
_symmetry_Int_Tables_number 1
_symmetry_space_group_name_Hall 'P 1'
_cell_length_a 3.881
_cell_length_b 3.881
_cell_length_c 9.594
_cell_angle_alpha 101.67
_cell_angle_beta 101.67
_cell_angle_gamma 90.00
loop_
_atom_site_label
_atom_site_type_symbol
_atom_site_fract_x
_atom_site_fract_y
_atom_site_fract_z
Ir1 Ir 0.750 0.250 0.500
Ir2 Ir 0.250 0.750 0.500
P1 P 0.672 0.672 0.344
P2 P 0.000 0.500 0.000
P3 P 0.328 0.328 0.656
P4 P 0.500 0.000 0.000
Np1 Np 0.891 0.891 0.782
Np2 Np 0.109 0.109 0.218
# SG: I4/mmm
# Magnetic moment, μB/f.u.: 3.41

***

B | # GGA-PBE NpP2Ir, relaxed
data_NpP2Ir
_chemical_formula_sum 'Np1 P2 Ir1'
_symmetry_space_group_name_H-M 'P 1'
_symmetry_Int_Tables_number 1
_symmetry_space_group_name_Hall 'P 1'
_cell_length_a 3.870
_cell_length_b 3.870
_cell_length_c 5.713
_cell_angle_alpha 70.20
_cell_angle_beta 70.20
_cell_angle_gamma 60.00
loop_
_atom_site_label
_atom_site_type_symbol
_atom_site_fract_x
_atom_site_fract_y
_atom_site_fract_z
P1 P 0.267 0.267 0.198
P2 P 0.733 0.733 0.802
Np1 Np 0.500 0.500 0.500
Ir1 Ir 0.000 0.000 0.000
# SG: R-3m
# Magnetic moment, μB/f.u.: 4.00

***

B ends up most stable, edging out the next structure by 84 meV/atom.